PmTm3B | PBE | relaxed

Cell: 5.103 5.103 5.103 Å, 90.00 90.00 90.00°
Sites, in units of the cell vectors:
B (0.000, 0.000, 0.000)
Tm (0.000, 0.500, 0.000)
Tm (0.000, 0.000, 0.500)
Tm (0.500, 0.000, 0.000)
Pm (0.500, 0.500, 0.500)

Results
- Formation energy: 0.034 eV per atom
- Electronic total energy: -0.1814 Ha/atom
- Magnetic moment: 0.00 μB/atom
- SG: Pm-3m, No. 221